Record 1
Computed, not measured: an optimized crystal structure of KHgBC4N4 at the PBE-GGA level of DFT.

a = 8.7571 Å, b = 12.1127 Å, c = 8.6300 Å
α = 90.00°, β = 116.13°, γ = 90.00°
Closest atoms and distances in Å follow each position.
Space group P2_1/c (No. 14)
One atom of each set of equivalent atoms:
K: 0.0874 0.1391 0.1055 [4 per cell]  6 N 2.75-2.91
Hg: 0.4565 0.6881 0.5534 [4 per cell]  1 C 2.12, 1 B 2.21
B: 0.3684 0.0748 0.7465 [4 per cell]  3 C 1.55-1.56
C: 0.2345 0.0350 0.8079 [4 per cell]  1 N 1.17
C: 0.2829 0.7208 0.8382 [4 per cell]  1 N 1.17
C: 0.2841 0.1419 0.5762 [4 per cell]  1 N 1.17
C: 0.4757 0.5246 0.2349 [4 per cell]  1 N 1.17
N: 0.1377 0.0041 0.8578 [4 per cell]  1 C 1.17
N: 0.1918 0.6773 0.7093 [4 per cell]  1 C 1.17
N: 0.2211 0.1965 0.4519 [4 per cell]  1 C 1.17
N: 0.4429 0.1013 0.2652 [4 per cell]  1 C 1.17

Record 2
Computed, not measured: an optimized crystal structure of HoB2C at the PBE-GGA level of DFT.

a = 6.7769 Å, b = 6.7769 Å, c = 7.4033 Å
α = 90.00°, β = 90.00°, γ = 90.00°
Closest atoms and distances in Å follow each position.
Space group P4_2/mbc (No. 135)
One atom of each set of equivalent atoms:
Ho: 0.1904 0.3096 0.2500 [8 per cell]  4 C 2.58-2.60, 10 B 2.62-2.76
B: 0.0345 0.8480 0.0000 [8 per cell]  2 C 1.62, 1 B 1.75
B: 0.0945 0.5969 0.0000 [8 per cell]  1 C 1.59, 1 B 1.75
C: 0.0406 0.8226 0.5000 [8 per cell]  3 B 1.59-1.62

Record 3
Computed, not measured: an optimized crystal structure of Ho3BC3 at the PBE-GGA level of DFT.

a = 5.0967 Å, b = 5.1422 Å, c = 15.8397 Å
α = 90.00°, β = 90.00°, γ = 90.00°
Closest atoms and distances in Å follow each position.
Space group Cmcm (No. 63)
One atom of each set of equivalent atoms:
Ho: 0.0000 0.0831 0.1020 [8 per cell]  4 C 2.35-2.56
Ho: 0.0000 0.4104 0.7500 [4 per cell]  6 C 2.53-2.61
B: 0.0000 0.5000 0.0000 [4 per cell]  2 C 1.46
C: 0.0000 0.0980 0.2500 [4 per cell]  6 Ho 2.35-2.61
C: 0.0000 0.4052 0.5870 [8 per cell]  1 B 1.46

Record 4
Computed, not measured: an optimized crystal structure of Ho2B4C at the PBE-GGA level of DFT.

a = 3.2587 Å, b = 6.5542 Å, c = 7.5076 Å
α = 90.00°, β = 90.00°, γ = 90.00°
Closest atoms and distances in Å follow each position.
Space group Immm (No. 71)
One atom of each set of equivalent atoms:
Ho: 0.0000 0.0000 0.2341 [4 per cell]  2 C 2.40, 2 B 2.68
B: 0.0000 0.2723 0.5000 [4 per cell]  1 C 1.49
B: 0.0000 0.3655 0.0000 [4 per cell]  3 B 1.76-1.86
C: 0.0000 0.5000 0.5000 [2 per cell]  2 B 1.49

Final energy
In order: -0.2584 -0.2694 -0.2686 -0.2580
Unit: hartree per atom